[1]
A relaxed structure of Ba6Cd2H, computed with PBE-GGA.

Structure (POSCAR):
```
Ba6Cd2H
1.0
4.380 0.000 0.000
2.190 7.784 0.590
2.190 2.243 12.781
H Ba Cd
1 6 2
Cartesian
0.000 0.000 0.000
2.190 6.212 3.105
4.380 2.255 1.473
4.380 7.772 11.898
4.380 6.995 7.481
4.380 3.031 5.891
6.570 3.814 10.267
6.570 9.038 9.487
2.190 0.989 3.884
```

Calculated values
The volume is 47.77 Å³/atom. The density of states at the Fermi level is 10.3 states/eV per cell. For the magnetic moment, the calculation gives 0.30 μB/f.u. Its space-group type is C2/m. Its total energy is -1.98 eV/atom.

***

[2]
A relaxed structure of In2Fe, computed with PBE-GGA.

Structure (POSCAR):
```
In2Fe
1.0
4.563 0.000 0.000
-2.282 3.952 0.000
0.000 0.000 3.401
Fe In
1 2
Cartesian
0.000 0.000 0.000
2.282 1.317 2.480
0.000 2.635 0.922
```

Calculated values
Its energy of formation is 1.4 eV/f.u. The volume is 20.45 Å³/atom. The density of states at the Fermi level is 2.6 states/eV per cell. For the magnetic moment, the calculation gives 2.36 μB/f.u. Its space-group type is P-3m1.

***

[3]
A relaxed structure of CaTlPdSeF, computed with PBE-GGA.

Structure (POSCAR):
```
CaTlPdSeF
1.0
-1.826 3.509 1.277
-2.168 -0.058 -2.941
-11.085 -8.808 8.345
Tl F Pd Ca Se
2 2 2 2 2
Cartesian
-12.040 -6.255 6.728
-4.500 -3.576 3.388
-6.531 -5.190 4.917
-2.986 0.940 -0.088
-5.712 -1.227 1.965
-9.257 -7.356 6.969
-8.462 -5.892 4.084
-2.749 0.296 2.021
-3.785 -2.176 0.563
-9.157 -4.797 6.845
```

Calculated values
As for the relative energy among the computed polymorphs: 26.2 meV per atom. The volume is 24.96 Å³/atom. The density of states at the Fermi level is 4.2 states/eV per cell. For the magnetic moment, the calculation gives 0.00 μB/f.u. Its space-group type is Imm2. As for the uncorrected formation energy: -1.454 eV per atom.

***

[4]
A relaxed structure of PrSm3As4, computed with PBE-GGA.

Structure (POSCAR):
```
PrSm3As4
1.0
4.241 0.000 0.000
0.000 7.339 -0.070
0.000 -2.380 6.943
Sm As Pr
3 4 1
Cartesian
0.000 3.670 -0.035
0.000 -1.190 3.471
2.121 2.480 3.437
0.000 1.258 1.744
0.000 3.701 5.129
2.121 4.892 1.696
2.121 0.067 5.177
2.121 0.000 0.000
```

Calculated values
Its energy of formation is -12.2 eV/f.u. The volume is 26.93 Å³/atom. The density of states at the Fermi level is 0.7 states/eV per cell. For the magnetic moment, the calculation gives 0.00 μB/f.u. Its space-group type is Cmmm.